(1)
A plane-wave DFT calculation with PBE was carried out for HgGeO2 after structural relaxation.

Results
Excess energy over the best structure of this formula in the dataset (meV/atom): 132
Space-group type: I-42d

Geometry as POSCAR:
```
HgGeO2
1.0
5.7446 0.0000 0.0000
0.0000 5.7446 0.0000
0.0000 0.0000 8.1336
Hg Ge O
4 4 8
direct
0.0000 0.0000 0.0000
0.0000 0.5000 0.2500
0.5000 0.0000 0.7500
0.5000 0.5000 0.5000
0.0000 0.0000 0.5000
0.0000 0.5000 0.7500
0.5000 0.0000 0.2500
0.5000 0.5000 0.0000
0.0021 0.7500 0.6250
0.2500 0.0021 0.3750
0.2500 0.4979 0.8750
0.4979 0.7500 0.1250
0.5021 0.2500 0.1250
0.7500 0.5021 0.8750
0.7500 0.9979 0.3750
0.9979 0.2500 0.6250
```

---

(2)
A plane-wave DFT calculation with PBE was carried out for HgGe2O after structural relaxation.

Results
Excess energy over the best structure of this formula in the dataset (meV/atom): 0
Space-group type: I-42d

Geometry as POSCAR:
```
HgGe2O
1.0
5.0116 0.0000 0.0000
0.0000 5.0116 0.0000
0.0000 0.0000 13.0797
Hg Ge O
4 8 4
direct
0.0000 0.0000 0.0000
0.0000 0.5000 0.2500
0.5000 0.0000 0.7500
0.5000 0.5000 0.5000
0.1193 0.2500 0.6250
0.2500 0.6193 0.8750
0.2500 0.8807 0.3750
0.3807 0.2500 0.1250
0.6193 0.7500 0.1250
0.7500 0.1193 0.3750
0.7500 0.3807 0.8750
0.8807 0.7500 0.6250
0.0000 0.0000 0.5000
0.0000 0.5000 0.7500
0.5000 0.0000 0.2500
0.5000 0.5000 0.0000
```

---

(3)
A plane-wave DFT calculation with PBE was carried out for Hg4GeO5 after structural relaxation.

Results
Space-group type: I4

Geometry as POSCAR:
```
Hg4GeO5
1.0
-3.5620 3.5620 3.1070
3.5620 -3.5620 3.1070
3.5620 3.5620 -3.1070
Hg Ge O
4 1 5
direct
0.0928 0.7264 0.8192
0.2736 0.0928 0.3664
0.7264 0.9072 0.6336
0.9072 0.2736 0.1808
0.5422 0.5422 0.0000
0.2493 0.2493 0.0000
0.3551 0.5828 0.7076
0.5828 0.8752 0.2277
0.6474 0.3551 0.7723
0.8752 0.6474 0.2924
```

---

(4)
A plane-wave DFT calculation with PBE was carried out for HgGePO2 after structural relaxation.

Results
Excess energy over the best structure of this formula in the dataset (meV/atom): 1007
Space-group type: P4/mmm

Geometry as POSCAR:
```
HgGePO2
1.0
4.1436 0.0000 0.0000
0.0000 4.1436 0.0000
0.0000 0.0000 5.1295
Hg Ge P O
1 1 1 2
direct
0.0000 0.0000 0.0000
0.5000 0.5000 0.5000
0.0000 0.0000 0.5000
0.0000 0.5000 0.0000
0.5000 0.0000 0.0000
```

---

(5)
A plane-wave DFT calculation with PBE was carried out for HgGePO2 after structural relaxation.

Results
Excess energy over the best structure of this formula in the dataset (meV/atom): 0
Space-group type: P4/mmm

Geometry as POSCAR:
```
HgGePO2
1.0
3.7188 0.0000 0.0000
0.0000 3.7188 0.0000
0.0000 0.0000 5.3696
Hg Ge P O
1 1 1 2
direct
0.0000 0.0000 0.0000
0.5000 0.5000 0.5000
0.5000 0.5000 0.0000
0.0000 0.5000 0.5000
0.5000 0.0000 0.5000
```

---

(6)
A plane-wave DFT calculation with PBE was carried out for HgGeP2O8 after structural relaxation.

Results
Space-group type: C2/m

Geometry as POSCAR:
```
HgGeP2O8
1.0
4.0758 -2.5868 0.0000
4.0758 2.5868 0.0000
-1.0032 0.0000 7.5159
Hg Ge P O
1 1 2 8
direct
0.0000 0.0000 0.0000
0.0000 0.0000 0.5000
0.3304 0.3304 0.3007
0.6696 0.6696 0.6993
0.1990 0.6881 0.3196
0.2159 0.2159 0.4448
0.2460 0.2460 0.1056
0.3119 0.8010 0.6804
0.6881 0.1990 0.3196
0.7540 0.7540 0.8944
0.7841 0.7841 0.5552
0.8010 0.3119 0.6804
```

---

(7)
A plane-wave DFT calculation with PBE was carried out for HgGePO6 after structural relaxation.

Results
Space-group type: P312

Geometry as POSCAR:
```
HgGePO6
1.0
4.8681 0.0000 0.0000
-2.4340 4.2159 0.0000
0.0000 0.0000 4.8615
Hg Ge P O
1 1 1 6
direct
0.0000 0.0000 0.0000
0.6667 0.3333 0.5000
0.3333 0.6667 0.5000
0.0269 0.3925 0.2990
0.0269 0.6343 0.7010
0.3657 0.3925 0.7010
0.3657 0.9731 0.2990
0.6075 0.6343 0.2990
0.6075 0.9731 0.7010
```

---

(8)
A plane-wave DFT calculation with PBE was carried out for HgGePbO4 after structural relaxation.

Results
Space-group type: P2_1/m

Geometry as POSCAR:
```
HgGePbO4
1.0
6.3473 0.0000 0.0000
0.0000 5.9015 0.0000
-0.7678 0.0000 7.0040
Hg Ge Pb O
2 2 2 8
direct
0.1597 0.2500 0.1389
0.8403 0.7500 0.8611
0.3292 0.7500 0.8959
0.6708 0.2500 0.1041
0.3043 0.2500 0.6511
0.6957 0.7500 0.3489
0.1482 0.5154 0.8430
0.1482 0.9846 0.8430
0.4162 0.7500 0.1384
0.4834 0.2500 0.2755
0.5166 0.7500 0.7245
0.5838 0.2500 0.8616
0.8518 0.0154 0.1570
0.8518 0.4846 0.1570
```

---

(9)
A plane-wave DFT calculation with PBE was carried out for Hg2GePbO4 after structural relaxation.

Results
Space-group type: Pmn2_1

Geometry as POSCAR:
```
Hg2GePbO4
1.0
6.5431 0.0000 0.0000
0.0000 8.1694 0.0000
0.0000 0.0000 5.6262
Hg Ge Pb O
4 2 2 8
direct
0.1989 0.1261 0.0000
0.3011 0.8739 0.5000
0.6989 0.8739 0.5000
0.8011 0.1261 0.0000
0.0000 0.7102 0.9337
0.5000 0.2898 0.4337
0.0000 0.4161 0.5035
0.5000 0.5839 0.0035
0.0000 0.4947 0.8920
0.0000 0.7947 0.6299
0.2314 0.7752 0.0697
0.2686 0.2248 0.5697
0.5000 0.2053 0.1299
0.5000 0.5053 0.3920
0.7314 0.2248 0.5697
0.7686 0.7752 0.0697
```

---

(10)
A plane-wave DFT calculation with PBE was carried out for HgGePbO5 after structural relaxation.

Results
Space-group type: C2/c

Geometry as POSCAR:
```
HgGePbO5
1.0
3.7464 -4.5642 0.0000
3.7464 4.5642 0.0000
-3.5130 0.0000 7.0573
Hg Ge Pb O
2 2 2 10
direct
0.1673 0.8327 0.7500
0.8327 0.1673 0.2500
0.1756 0.8244 0.2500
0.8244 0.1756 0.7500
0.5000 0.5000 0.0000
0.5000 0.5000 0.5000
0.1310 0.2211 0.9049
0.1834 0.6190 0.3760
0.2211 0.1310 0.4049
0.3810 0.8166 0.1240
0.4025 0.5975 0.7500
0.5975 0.4025 0.2500
0.6190 0.1834 0.8760
0.7789 0.8690 0.5951
0.8166 0.3810 0.6240
0.8690 0.7789 0.0951
```

---

(11)
A plane-wave DFT calculation with PBE was carried out for HgGe2PbO6 after structural relaxation.

Results
Space-group type: C2/c

Geometry as POSCAR:
```
HgGe2PbO6
1.0
5.4280 -5.5190 0.0000
5.4280 5.5190 0.0000
-1.6955 0.0000 5.4389
Hg Ge Pb O
2 4 2 12
direct
0.2061 0.7939 0.7500
0.7939 0.2061 0.2500
0.1309 0.2754 0.7115
0.2754 0.1309 0.2115
0.7246 0.8691 0.7885
0.8691 0.7246 0.2885
0.3959 0.6041 0.2500
0.6041 0.3959 0.7500
0.0844 0.6583 0.3990
0.1064 0.1789 0.9668
0.1789 0.1064 0.4668
0.3000 0.4445 0.8096
0.3417 0.9156 0.1010
0.4445 0.3000 0.3096
0.5555 0.7000 0.6904
0.6583 0.0844 0.8990
0.7000 0.5555 0.1904
0.8211 0.8936 0.5332
0.8936 0.8211 0.0332
0.9156 0.3417 0.6010
```

---

(12)
A plane-wave DFT calculation with PBE was carried out for HgGe2PdO after structural relaxation.

Results
Space-group type: P4/mmm

Geometry as POSCAR:
```
HgGe2PdO
1.0
5.0480 0.0000 0.0000
0.0000 5.0480 0.0000
0.0000 0.0000 3.9279
Hg Ge Pd O
1 2 1 1
direct
0.0000 0.0000 0.0000
0.0000 0.5000 0.5000
0.5000 0.0000 0.5000
0.5000 0.5000 0.5000
0.5000 0.5000 0.0000
```

---

(13)
A plane-wave DFT calculation with PBE was carried out for PmHgGeO4 after structural relaxation.

Results
Space-group type: C2/m

Geometry as POSCAR:
```
PmHgGeO4
1.0
5.9171 -3.2150 0.0000
5.9171 3.2150 0.0000
-1.5043 0.0000 6.9414
Pm Hg Ge O
2 2 2 8
direct
0.2017 0.2017 0.3533
0.7983 0.7983 0.6467
0.3924 0.3924 0.0082
0.6076 0.6076 0.9918
0.1322 0.1322 0.7648
0.8678 0.8678 0.2352
0.0136 0.0136 0.2376
0.0258 0.6086 0.3624
0.2129 0.2129 0.0120
0.3914 0.9742 0.6376
0.6086 0.0258 0.3624
0.7871 0.7871 0.9880
0.9742 0.3914 0.6376
0.9864 0.9864 0.7624
```

---

(14)
A plane-wave DFT calculation with PBE was carried out for PmHgGe2O6 after structural relaxation.

Results
Space-group type: C2/c

Geometry as POSCAR:
```
PmHgGe2O6
1.0
5.5176 -5.5970 0.0000
5.5176 5.5970 0.0000
-0.8160 0.0000 5.0917
Pm Hg Ge O
2 2 4 12
direct
0.2193 0.7807 0.7500
0.7807 0.2193 0.2500
0.4378 0.5622 0.2500
0.5622 0.4378 0.7500
0.1225 0.2967 0.8053
0.2967 0.1225 0.3053
0.7033 0.8775 0.6947
0.8775 0.7033 0.1947
0.0808 0.6978 0.3511
0.1165 0.2288 0.1321
0.2288 0.1165 0.6321
0.2332 0.4962 0.8353
0.3022 0.9192 0.1489
0.4962 0.2332 0.3353
0.5038 0.7668 0.6647
0.6978 0.0808 0.8511
0.7668 0.5038 0.1647
0.7712 0.8835 0.3679
0.8835 0.7712 0.8679
0.9192 0.3022 0.6489
```

---

(15)
A plane-wave DFT calculation with PBE was carried out for Pr2HgGeO6 after structural relaxation.

Results
Space-group type: P4mm

Geometry as POSCAR:
```
Pr2HgGeO6
1.0
5.4428 0.0000 0.0000
0.0000 5.4428 0.0000
0.0000 0.0000 5.1775
Pr Hg Ge O
2 1 1 6
direct
0.0000 0.5000 0.0000
0.5000 0.0000 0.0000
0.0000 0.0000 0.5162
0.5000 0.5000 0.6031
0.0000 0.0000 0.1061
0.2711 0.2711 0.7331
0.2711 0.7289 0.7331
0.5000 0.5000 0.2551
0.7289 0.2711 0.7331
0.7289 0.7289 0.7331
```

---

(16)
A plane-wave DFT calculation with PBE was carried out for HgGePtO6 after structural relaxation.

Results
Space-group type: P-31c

Geometry as POSCAR:
```
HgGePtO6
1.0
5.1787 0.0000 0.0000
-2.5894 4.4849 0.0000
0.0000 0.0000 9.7142
Hg Ge Pt O
2 2 2 12
direct
0.0000 0.0000 0.0000
0.0000 0.0000 0.5000
0.3333 0.6667 0.2500
0.6667 0.3333 0.7500
0.3333 0.6667 0.7500
0.6667 0.3333 0.2500
0.0077 0.3792 0.1394
0.0077 0.6285 0.3606
0.3715 0.3792 0.3606
0.3715 0.9923 0.1394
0.3792 0.0077 0.6394
0.3792 0.3715 0.8606
0.6208 0.6285 0.1394
0.6208 0.9923 0.3606
0.6285 0.0077 0.8606
0.6285 0.6208 0.6394
0.9923 0.3715 0.6394
0.9923 0.6208 0.8606
```

---

(17)
A plane-wave DFT calculation with PBE was carried out for PuHgGe2O8 after structural relaxation.

Results
Space-group type: P-3m1

Geometry as POSCAR:
```
PuHgGe2O8
1.0
5.6581 0.0000 0.0000
-2.8291 4.9001 0.0000
0.0000 0.0000 6.6620
Pu Hg Ge O
1 1 2 8
direct
0.0000 0.0000 0.0000
0.0000 0.0000 0.5000
0.3333 0.6667 0.6954
0.6667 0.3333 0.3046
0.1653 0.3305 0.8055
0.1653 0.8347 0.8055
0.3305 0.1653 0.1945
0.3333 0.6667 0.4412
0.6667 0.3333 0.5588
0.6695 0.8347 0.8055
0.8347 0.1653 0.1945
0.8347 0.6695 0.1945
```

---

(18)
A plane-wave DFT calculation with PBE was carried out for RbHgGeO4 after structural relaxation.

Results
Space-group type: P2_1/m

Geometry as POSCAR:
```
RbHgGeO4
1.0
5.8785 0.0000 0.0000
0.0000 6.0673 0.0000
-2.2199 0.0000 7.2533
Rb Hg Ge O
2 2 2 8
direct
0.2100 0.2500 0.4380
0.7900 0.7500 0.5620
0.2966 0.2500 0.9524
0.7034 0.7500 0.0476
0.2364 0.7500 0.1541
0.7636 0.2500 0.8459
0.0160 0.7500 0.9355
0.0609 0.7500 0.3084
0.4503 0.5307 0.1817
0.4503 0.9693 0.1817
0.5497 0.0307 0.8183
0.5497 0.4693 0.8183
0.9391 0.2500 0.6916
0.9840 0.2500 0.0645
```

---

(19)
A plane-wave DFT calculation with PBE was carried out for ReHg2GeO after structural relaxation.

Results
Space-group type: P4/mmm

Geometry as POSCAR:
```
ReHg2GeO
1.0
5.4033 0.0000 0.0000
0.0000 5.4033 0.0000
0.0000 0.0000 3.5906
Re Hg Ge O
1 2 1 1
direct
0.0000 0.0000 0.0000
0.0000 0.5000 0.5000
0.5000 0.0000 0.5000
0.5000 0.5000 0.5000
0.5000 0.5000 0.0000
```

---

(20)
A plane-wave DFT calculation with PBE was carried out for ReHgGeO6 after structural relaxation.

Results
Space-group type: P312

Geometry as POSCAR:
```
ReHgGeO6
1.0
5.1812 0.0000 0.0000
-2.5906 4.4870 0.0000
0.0000 0.0000 5.0234
Re Hg Ge O
1 1 1 6
direct
0.0000 0.0000 0.0000
0.6667 0.3333 0.5000
0.3333 0.6667 0.0000
0.0497 0.3325 0.2114
0.0497 0.7172 0.7886
0.2828 0.3325 0.7886
0.2828 0.9503 0.2114
0.6675 0.7172 0.2114
0.6675 0.9503 0.7886
```

---

What did we get for calculated total energy? Answer: -4.658; -3.755; -3.562; -3.358; -4.365; -6.361; -5.687; -5.139; -4.568; -5.166; -5.584; -3.742; -6.212; -6.185; -6.532; -5.192; -6.719; -4.711; -3.585; -6.442 eV/atom, in the order shown.
What did we get for magnetic moment? Answer: 0.0; 0.0; 0.0; 0.0; 0.2; 0.0; 0.0; 0.0; 0.0; 0.0; 0.0; 0.0; 0.0; 0.0; 0.0; 0.0; 2.0; 1.0; 3.6; 0.0 μB per formula unit, in the order shown.
What did we get for uncorrected formation energy? Answer: -3.8; -0.5; -5.0; 3.5; -1.6; -20.9; -11.1; -7.5; -7.8; -7.9; -12.8; 1.0; -14.0; -17.8; -21.1; -6.0; -17.1; -7.3; 4.7; -10.9 eV/f.u., in the order shown.